Compound: TbPmNd2Ho2
Source: the Alexandria database
Functional: PBE
Structure: relaxed

Cell: 7.016 5.705 9.888 Å, 90.00 90.00 90.00°
Space group Pmma (No. 51)
Symmetry-distinct sites (fractional):
Tb  0.250  0.000  0.165 x2
Pm  0.000  0.500  0.000 x2
Nd  0.000  0.000  0.500 x2
Nd  0.250  0.500  0.670 x2
Ho  0.250  0.000  0.833 x2
Ho  0.250  0.500  0.335 x2

Results
**Total magnetization**: 0.000 μB per atom
**Energy of formation**: 0.4 eV/f.u.
**Total DFT energy (no corrections)**: -4.6125 eV/atom

=====

Compound: Tb5PmNd2Ho
Source: the Alexandria database
Functional: PBE
Structure: relaxed

Cell: 8.718 8.718 15.699 Å, 90.00 90.00 90.00°
Space group I4/mcm (No. 140)
Symmetry-distinct sites (fractional):
Tb  0.000  0.000  0.000 x4
Tb  0.211  0.289  0.139 x16
Pm  0.000  0.000  0.250 x4
Nd  0.118  0.382  0.500 x8
Ho  0.000  0.500  0.250 x4

Results
**Total magnetization**: 0.000 μB per atom
**Energy of formation**: 2.4 eV/f.u.
**Total DFT energy (no corrections)**: -4.4004 eV/atom

=====

Compound: TbPmNd6Ho2
Source: the Alexandria database
Functional: PBE
Structure: relaxed

Cell: 9.286 15.332 9.742 Å, 90.00 97.91 90.00°
Space group C2/c (No. 15)
Symmetry-distinct sites (fractional):
Tb  0.000  0.029  0.250 x4
Pm  0.000  0.408  0.750 x4
Nd  0.064  0.177  0.945 x8
Nd  0.098  0.392  0.120 x8
Nd  0.210  0.225  0.315 x8
Ho  0.245  0.048  0.546 x8

Results
**Total magnetization**: 0.000 μB per atom
**Energy of formation**: 1.2 eV/f.u.
**Total DFT energy (no corrections)**: -4.5991 eV/atom

=====

Compound: TbPm2Nd3Ho6
Source: the Alexandria database
Functional: PBE
Structure: relaxed

Cell: 6.229 10.782 11.806 Å, 90.00 100.10 90.00°
Space group C2/m (No. 12)
Symmetry-distinct sites (fractional):
Tb  0.000  0.000  0.000 x2
Pm  0.000  0.333  0.000 x4
Nd  0.000  0.167  0.500 x4
Nd  0.000  0.500  0.500 x2
Ho  0.249  0.167  0.249 x8
Ho  0.250  0.000  0.751 x4

Results
**Total magnetization**: 0.000 μB per atom
**Energy of formation**: 0.2 eV/f.u.
**Total DFT energy (no corrections)**: -4.6446 eV/atom

=====

Compound: Pm3Nd4HoTe8
Source: the Alexandria database
Functional: PBE
Structure: relaxed

Cell: 15.477 8.926 8.944 Å, 90.00 125.26 90.00°
Space group C2/m (No. 12)
Symmetry-distinct sites (fractional):
Pm  0.000  0.000  0.000 x2
Pm  0.250  0.250  0.500 x4
Nd  0.000  0.000  0.500 x2
Nd  0.000  0.500  0.500 x2
Nd  0.250  0.250  0.000 x4
Ho  0.000  0.500  0.000 x2
Te  0.001  0.254  0.245 x8
Te  0.245  0.500  0.247 x4
Te  0.249  0.000  0.251 x4

Results
**Total magnetization**: 0.000 μB per atom
**ΔE_f (raw)**: -1.390 eV per atom
**Total DFT energy (no corrections)**: -5.3299 eV/atom

=====

Compound: PmNd2Ho3Te6
Source: the Alexandria database
Functional: PBE
Structure: relaxed

Cell: 19.350 4.360 8.936 Å, 90.00 104.84 90.00°
Space group C2/m (No. 12)
Symmetry-distinct sites (fractional):
Pm  0.000  0.000  0.000 x2
Nd  0.167  0.500  0.333 x4
Ho  0.000  0.000  0.500 x2
Ho  0.167  0.500  0.833 x4
Te  0.003  0.500  0.744 x4
Te  0.163  0.000  0.591 x4
Te  0.169  0.000  0.075 x4

Results
**Total magnetization**: 0.000 μB per atom
**ΔE_f (raw)**: -1.337 eV per atom
**Total DFT energy (no corrections)**: -5.2429 eV/atom

=====

Compound: PmNd3Ho2Te6
Source: the Alexandria database
Functional: PBE
Structure: relaxed

Cell: 19.408 4.398 8.966 Å, 90.00 103.95 90.00°
Space group C2/m (No. 12)
Symmetry-distinct sites (fractional):
Pm  0.000  0.000  0.000 x2
Nd  0.000  0.000  0.500 x2
Nd  0.162  0.500  0.832 x4
Ho  0.165  0.500  0.330 x4
Te  0.005  0.500  0.251 x4
Te  0.168  0.000  0.093 x4
Te  0.171  0.000  0.576 x4

Results
**Total magnetization**: 0.000 μB per atom
**ΔE_f (raw)**: -1.365 eV per atom
**Total DFT energy (no corrections)**: -5.2863 eV/atom

=====

Compound: Pm3Nd2HoTe6
Source: the Alexandria database
Functional: PBE
Structure: relaxed

Cell: 19.409 4.430 8.961 Å, 90.00 102.89 90.00°
Space group C2/m (No. 12)
Symmetry-distinct sites (fractional):
Pm  0.000  0.000  0.000 x2
Pm  0.172  0.500  0.334 x4
Nd  0.170  0.500  0.837 x4
Ho  0.000  0.000  0.500 x2
Te  0.002  0.500  0.259 x4
Te  0.161  0.000  0.579 x4
Te  0.165  0.000  0.084 x4

Results
**Total magnetization**: 0.000 μB per atom
**ΔE_f (raw)**: -1.387 eV per atom
**Total DFT energy (no corrections)**: -5.3213 eV/atom

=====

Compound: Pm2NdHo3Te6
Source: the Alexandria database
Functional: PBE
Structure: relaxed

Cell: 19.314 4.361 8.911 Å, 90.00 104.70 90.00°
Space group C2/m (No. 12)
Symmetry-distinct sites (fractional):
Pm  0.166  0.000  0.332 x4
Nd  0.000  0.500  0.000 x2
Ho  0.000  0.500  0.500 x2
Ho  0.166  0.000  0.833 x4
Te  0.002  0.000  0.742 x4
Te  0.164  0.500  0.590 x4
Te  0.170  0.500  0.077 x4

Results
**Total magnetization**: 0.000 μB per atom
**ΔE_f (raw)**: -1.334 eV per atom
**Total DFT energy (no corrections)**: -5.2383 eV/atom

=====

Compound: Pm2Nd4HoTh
Source: the Alexandria database
Functional: PBE
Structure: relaxed

Cell: 6.094 6.104 7.320 Å, 90.00 90.11 90.00°
Space group P2/m (No. 10)
Symmetry-distinct sites (fractional):
Pm  0.000  0.000  0.000 x1
Pm  0.500  0.500  0.500 x1
Nd  0.000  0.500  0.254 x2
Nd  0.499  0.000  0.746 x2
Ho  0.500  0.500  0.000 x1
Th  0.000  0.000  0.500 x1

Results
**Total magnetization**: 0.000 μB per atom
**Energy of formation**: 1.1 eV/f.u.
**Total DFT energy (no corrections)**: -4.9369 eV/atom

=====

Compound: PmNd4Ho2Th
Source: the Alexandria database
Functional: PBE
Structure: relaxed

Cell: 11.483 5.139 10.246 Å, 90.00 116.63 90.00°
Space group C2/m (No. 12)
Symmetry-distinct sites (fractional):
Pm  0.000  0.000  0.000 x2
Nd  0.248  0.500  0.622 x4
Nd  0.249  0.000  0.872 x4
Ho  0.001  0.500  0.746 x4
Th  0.000  0.000  0.500 x2

Results
**Total magnetization**: 0.000 μB per atom
**Energy of formation**: 0.3 eV/f.u.
**Total DFT energy (no corrections)**: -5.0091 eV/atom

=====

Compound: PmNdHoTh
Source: the Alexandria database
Functional: PBE
Structure: relaxed

Cell: 3.606 3.606 10.239 Å, 90.00 90.00 90.00°
Space group P4mm (No. 99)
Symmetry-distinct sites (fractional):
Pm  0.000  0.000  0.000 x1
Nd  0.500  0.500  0.266 x1
Ho  0.000  0.000  0.521 x1
Th  0.500  0.500  0.757 x1

Results
**Total magnetization**: 0.000 μB per atom
**Relative energy among the computed polymorphs**: 0 meV/atom
**Energy of formation**: 0.1 eV/f.u.
**Total DFT energy (no corrections)**: -5.3528 eV/atom

=====

Compound: PmNd3Ho6Th2
Source: the Alexandria database
Functional: PBE
Structure: relaxed

Cell: 6.228 10.782 11.759 Å, 90.00 100.19 90.00°
Space group C2/m (No. 12)
Symmetry-distinct sites (fractional):
Pm  0.000  0.000  0.000 x2
Nd  0.000  0.166  0.500 x4
Nd  0.000  0.500  0.500 x2
Ho  0.244  0.500  0.246 x4
Ho  0.249  0.331  0.755 x8
Th  0.000  0.333  0.000 x4

Results
**Total magnetization**: 0.000 μB per atom
**Energy of formation**: 0.3 eV/f.u.
**Total DFT energy (no corrections)**: -5.0907 eV/atom

=====

Compound: PmNd2HoTh
Source: the Alexandria database
Functional: PBE
Structure: relaxed

Cell: 8.670 6.347 6.380 Å, 90.00 90.39 90.00°
Space group P2/c (No. 13)
Symmetry-distinct sites (fractional):
Pm  0.000  0.041  0.250 x2
Nd  0.313  0.206  0.748 x4
Ho  0.500  0.319  0.250 x2
Th  0.000  0.500  0.000 x2

Results
**Total magnetization**: 0.000 μB per atom
**Energy of formation**: 1.6 eV/f.u.
**Total DFT energy (no corrections)**: -4.9330 eV/atom

=====

Compound: Pm2Nd5HoTh
Source: the Alexandria database
Functional: PBE
Structure: relaxed

Cell: 5.703 20.774 10.639 Å, 90.00 90.00 90.00°
Space group Cmc2_1 (No. 36)
Symmetry-distinct sites (fractional):
Pm  0.000  0.114  0.000 x4
Pm  0.000  0.115  0.574 x4
Nd  0.000  0.014  0.281 x4
Nd  0.000  0.275  0.579 x4
Nd  0.000  0.293  0.969 x4
Nd  0.000  0.382  0.288 x4
Nd  0.000  0.484  0.010 x4
Ho  0.000  0.404  0.727 x4
Th  0.000  0.198  0.276 x4

Results
**Total magnetization**: 0.000 μB per atom
**Energy of formation**: 1.3 eV/f.u.
**Total DFT energy (no corrections)**: -4.8903 eV/atom

=====

Compound: PmNdHo3Th
Source: the Alexandria database
Functional: PBE
Structure: relaxed

Cell: 19.823 5.627 7.053 Å, 90.00 90.37 90.00°
Space group C2/m (No. 12)
Symmetry-distinct sites (fractional):
Pm  0.148  0.000  0.037 x4
Nd  0.146  0.000  0.459 x4
Ho  0.023  0.000  0.752 x4
Ho  0.158  0.500  0.753 x4
Ho  0.221  0.500  0.253 x4
Th  0.054  0.500  0.239 x4

Results
**Total magnetization**: 0.000 μB per atom
**Energy of formation**: 1.3 eV/f.u.
**Total DFT energy (no corrections)**: -4.8962 eV/atom

=====

Compound: Pm2Nd6HoTh
Source: the Alexandria database
Functional: PBE
Structure: relaxed

Cell: 9.293 15.148 9.976 Å, 90.00 99.44 90.00°
Space group C2/c (No. 15)
Symmetry-distinct sites (fractional):
Pm  0.241  0.046  0.046 x8
Nd  0.070  0.181  0.444 x8
Nd  0.097  0.396  0.620 x8
Nd  0.205  0.218  0.811 x8
Ho  0.000  0.407  0.250 x4
Th  0.000  0.020  0.750 x4

Results
**Total magnetization**: 0.000 μB per atom
**Energy of formation**: 1.4 eV/f.u.
**Total DFT energy (no corrections)**: -4.8675 eV/atom

=====

Compound: Pm6NdHo2Th
Source: the Alexandria database
Functional: PBE
Structure: relaxed

Cell: 9.373 15.018 9.753 Å, 90.00 97.76 90.00°
Space group C2/c (No. 15)
Symmetry-distinct sites (fractional):
Pm  0.066  0.174  0.442 x8
Pm  0.094  0.392  0.619 x8
Pm  0.204  0.220  0.815 x8
Nd  0.000  0.405  0.250 x4
Ho  0.243  0.046  0.051 x8
Th  0.000  0.031  0.750 x4

Results
**Total magnetization**: 0.000 μB per atom
**Energy of formation**: 1.4 eV/f.u.
**Total DFT energy (no corrections)**: -4.8414 eV/atom

=====

Compound: PmNdHo5Th2
Source: the Alexandria database
Functional: PBE
Structure: relaxed

Cell: 8.845 8.845 15.317 Å, 90.00 90.00 90.00°
Space group I4/mcm (No. 140)
Symmetry-distinct sites (fractional):
Pm  0.000  0.000  0.250 x4
Nd  0.000  0.500  0.250 x4
Ho  0.000  0.000  0.000 x4
Ho  0.207  0.293  0.137 x16
Th  0.119  0.381  0.500 x8

Results
**Total magnetization**: 0.000 μB per atom
**Energy of formation**: 2.9 eV/f.u.
**Total DFT energy (no corrections)**: -4.9270 eV/atom